Record 1
## NiHg2Os (GGA-PBE)

Data for a relaxed structure of NiHg2Os.

abc: 2.949 4.927 9.348
angles: 90.00 90.00 90.00
Space group Cmmm (No. 65)
Asymmetric unit:
Ni1 0.000 0.000 0.000 x2
Hg1 0.000 0.500 0.236 x4
Os1 0.000 0.000 0.500 x2

Magnetization, μB per atom: 0.08
Formation enthalpy at 0 K, eV/atom: 0.73
Fermi-level density of states, states/eV/atom: 1.014
Theoretical density, Mg/m³: 15.898

Record 2
## Ni2HgOs (GGA-PBE)

Data for a relaxed structure of Ni2HgOs.

abc: 2.838 2.838 7.070
angles: 90.00 90.00 90.00
Space group P4mm (No. 99)
Asymmetric unit:
Ni1 0.000 0.000 0.000 x1
Ni2 0.500 0.500 0.202 x1
Hg1 0.500 0.500 0.727 x1
Os1 0.000 0.000 0.410 x1

Magnetization, μB per atom: 0.00
Formation enthalpy at 0 K, eV/atom: 0.42
Fermi-level density of states, states/eV/atom: 1.015
Theoretical density, Mg/m³: 14.823

Record 3
## NiHg2Os (GGA-PBE)

Data for a relaxed structure of NiHg2Os.

abc: 4.160 4.160 7.794
angles: 90.00 90.00 90.00
Space group I4/mmm (No. 139)
Asymmetric unit:
Ni1 0.000 0.000 0.000 x2
Hg1 0.000 0.500 0.250 x4
Os1 0.000 0.000 0.500 x2

Magnetization, μB per atom: 0.23
Formation enthalpy at 0 K, eV/atom: 0.82
Fermi-level density of states, states/eV/atom: 1.465
Theoretical density, Mg/m³: 16.006

Record 4
## Ni2HgOs (GGA-PBE)

Data for a relaxed structure of Ni2HgOs.

abc: 2.891 4.667 8.709
angles: 90.00 90.00 90.00
Space group Immm (No. 71)
Asymmetric unit:
Ni1 0.000 0.000 0.238 x4
Hg1 0.000 0.500 0.000 x2
Os1 0.000 0.500 0.500 x2

Magnetization, μB per atom: 0.45
Formation enthalpy at 0 K, eV/atom: 0.64
Fermi-level density of states, states/eV/atom: 1.144
Theoretical density, Mg/m³: 14.363